Arrangement A

Entry from Alexandria via LeMat-Bulk: NdCoH after structural relaxation (PBE-GGA).

Values from the calculation:
DOS(E_F), states/eV/cell: 8.229
SG: Fddd
Crystal system: orthorhombic

Lattice parameters (Å, degrees): 3.3563 8.1997 7.1056 87.23 76.34 78.19
Last column: nearest neighbours and their distance in Å.
Fractional coordinates of all 12 atoms:
Co1 0.1031 0.0000 0.7939  2 H 1.70
Co2 0.8969 0.0000 0.2061  2 H 1.70
Co3 0.8531 0.5000 0.2939  2 H 1.70
Co4 0.6469 0.5000 0.7061  2 H 1.70
H1 0.6241 0.0000 0.7519  2 Co 1.70
H2 0.3759 0.0000 0.2481  2 Co 1.70
H3 0.1259 0.5000 0.7481  2 Co 1.70
H4 0.3741 0.5000 0.2519  2 Co 1.70
Nd1 0.8986 0.2029 0.5000  2 H 2.53, 4 Co 2.73-2.78
Nd2 0.8514 0.2971 0.0000  2 H 2.53, 4 Co 2.73-2.78
Nd3 0.6014 0.7971 0.5000  2 H 2.53, 4 Co 2.73-2.78
Nd4 0.1486 0.7029 0.0000  2 H 2.53, 4 Co 2.73-2.78


Arrangement B

Entry from Alexandria via LeMat-Bulk: NdCoH after structural relaxation (PBE-GGA).

Values from the calculation:
DOS(E_F), states/eV/cell: 2.419
SG: P-6m2
Crystal system: hexagonal

Lattice parameters (Å, degrees): 3.6603 3.7572 3.7572 120.00 90.00 90.00
Last column: nearest neighbours and their distance in Å.
Fractional coordinates of all 3 atoms:
Co1 0.1668 0.3333 0.6667  3 H 2.17
Nd1 0.6672 0.6667 0.3333  6 H 2.84, 6 Co 2.84
H1 0.1660 0.0000 0.0000  3 Co 2.17


Ordering by calculated energy gives the sequence arrangement A, arrangement B, with the first entry being the most stable.


Arrangement A

Entry from Alexandria via LeMat-Bulk: NdCo2H8 after structural relaxation (PBE-GGA).

Values from the calculation:
DOS(E_F), states/eV/cell: 1.602
SG: Amm2
Crystal system: orthorhombic

Lattice parameters (Å, degrees): 4.3780 4.4704 4.4704 119.80 90.05 90.05
Last column: nearest neighbours and their distance in Å.
Fractional coordinates of all 11 atoms:
H1 0.8359 0.0488 0.6005  2 Co 1.64-1.73, 1 H 1.67
H2 0.3465 0.0480 0.6010  2 Co 1.64-1.73, 1 H 1.67
H3 0.8231 0.5749 0.5749  2 Co 1.69
H4 0.3465 0.6010 0.0480  2 Co 1.64-1.73, 1 H 1.67
H5 0.5905 0.0509 0.3156  2 Co 1.61-1.65, 2 H 1.67
H6 0.3592 0.5746 0.5746  2 Co 1.68
H7 0.8359 0.6005 0.0488  2 Co 1.64-1.73, 1 H 1.67
H8 0.5905 0.3156 0.0509  2 Co 1.61-1.65, 2 H 1.67
Nd1 0.0904 0.0817 0.0817  14 H 2.36-2.64
Co1 0.5910 0.7074 0.3628  8 H 1.61-1.73
Co2 0.5910 0.3628 0.7074  8 H 1.61-1.73


Arrangement B

Entry from Alexandria via LeMat-Bulk: NdCo2H8 after structural relaxation (PBE-GGA).

Values from the calculation:
DOS(E_F), states/eV/cell: 4.362
SG: Cmmm
Crystal system: orthorhombic

Lattice parameters (Å, degrees): 3.5249 5.0650 5.3644 61.84 90.00 90.00
Last column: nearest neighbours and their distance in Å.
Fractional coordinates of all 11 atoms:
H1 0.0000 0.1133 0.2713  2 Co 1.63-1.70
H2 0.5000 0.2486 0.5028  2 Co 1.76
H3 0.0000 0.3846 0.7287  2 Co 1.63-1.70
H4 0.0000 0.6154 0.2713  2 Co 1.63-1.70
H5 0.6112 0.5000 0.0000  1 H 0.78
H6 0.3888 0.5000 0.0000  1 H 0.78
H7 0.5000 0.7514 0.4972  2 Co 1.76
H8 0.0000 0.8867 0.7287  2 Co 1.63-1.70
Co1 0.0000 0.7550 0.4899  6 H 1.63-1.76
Co2 0.0000 0.2450 0.5101  6 H 1.63-1.76
Nd1 0.5000 0.0000 0.0000  14 H 2.35-2.56


Ordering by calculated energy gives the sequence arrangement A, arrangement B, with the first entry being the most stable.


Arrangement A

Entry from Alexandria via LeMat-Bulk: CoNi2H2 after structural relaxation (PBE-GGA).

Values from the calculation:
DOS(E_F), states/eV/cell: 13.040
SG: P4/mbm
Crystal system: tetragonal

Lattice parameters (Å, degrees): 5.4904 5.4904 2.6139 90.00 90.00 90.00
Last column: nearest neighbours and their distance in Å.
Fractional coordinates of all 10 atoms:
H1 0.7026 0.2026 0.0000  2 Ni 1.69
H2 0.2026 0.2974 0.0000  2 Ni 1.69
H3 0.7974 0.7026 0.0000  2 Ni 1.69
H4 0.2974 0.7974 0.0000  2 Ni 1.69
Ni1 0.1600 0.6600 0.5000  2 H 1.69
Ni2 0.8400 0.3400 0.5000  2 H 1.69
Ni3 0.6600 0.8400 0.5000  2 H 1.69
Ni4 0.3400 0.1600 0.5000  2 H 1.69
Co1 0.0000 0.0000 0.0000  4 H 1.98
Co2 0.5000 0.5000 0.0000  4 H 1.98


Arrangement B

Entry from Alexandria via LeMat-Bulk: CoNi2H2 after structural relaxation (PBE-GGA).

Values from the calculation:
DOS(E_F), states/eV/cell: 4.791
SG: P-3m1
Crystal system: trigonal

Lattice parameters (Å, degrees): 2.5837 2.5837 6.3127 90.00 90.00 120.00
Last column: nearest neighbours and their distance in Å.
Fractional coordinates of all 5 atoms:
H1 0.8335 0.1670 0.1745  3 Ni 1.82, 3 Co 1.85-1.86
H2 0.1665 0.8330 0.8255  3 Ni 1.82, 3 Co 1.85-1.86
Co1 0.5000 0.5000 0.0000  6 H 1.85-1.86
Ni1 0.1666 0.8332 0.3393  3 H 1.82
Ni2 0.8334 0.1668 0.6607  3 H 1.82


Ordering by calculated energy gives the sequence arrangement B, arrangement A, with the first entry being the most stable.


Arrangement A

Entry from Alexandria via LeMat-Bulk: CoNi3H after structural relaxation (PBE-GGA).

Values from the calculation:
DOS(E_F), states/eV/cell: 11.352
SG: P-1
Crystal system: triclinic

Lattice parameters (Å, degrees): 2.5177 4.3899 8.3878 85.10 98.70 90.04
Last column: nearest neighbours and their distance in Å.
Fractional coordinates of all 10 atoms:
H1 0.6837 0.1703 0.5917  6 Ni 1.82-1.84
H2 0.1837 0.6715 0.5934  6 Ni 1.82-1.84
Ni1 0.2514 0.3137 0.7268  3 H 1.83-1.84
Ni2 0.3731 0.6067 0.9730  6 Ni 2.46-2.52, 6 Co 2.46-2.54
Ni3 0.7505 0.8152 0.7254  3 H 1.82-1.83
Ni4 0.6161 0.5279 0.4582  3 H 1.83-1.84
Ni5 0.4943 0.2350 0.2121  6 Ni 2.46-2.52, 6 Co 2.46-2.54
Ni6 0.1168 0.0264 0.4596  3 H 1.82-1.83
Co1 0.8732 0.1044 0.9723  3 Co 2.45-2.52, 9 Ni 2.46-2.54
Co2 0.9941 0.7374 0.2128  3 Co 2.45-2.52, 9 Ni 2.46-2.54


Arrangement B

Entry from Alexandria via LeMat-Bulk: CoNi3H after structural relaxation (PBE-GGA).

Values from the calculation:
DOS(E_F), states/eV/cell: 10.633
SG: Pm-3m
Crystal system: cubic

Lattice parameters (Å, degrees): 3.5842 3.5842 3.5842 90.00 90.00 90.00
Last column: nearest neighbours and their distance in Å.
Fractional coordinates of all 5 atoms:
H1 0.0000 0.0000 0.0000  6 Ni 1.79
Co1 0.5000 0.5000 0.5000  12 Ni 2.53
Ni1 0.5000 0.0000 0.0000  2 H 1.79
Ni2 0.0000 0.5000 0.0000  2 H 1.79
Ni3 0.0000 0.0000 0.5000  2 H 1.79


Arrangement C

Entry from Alexandria via LeMat-Bulk: CoNi3H after structural relaxation (PBE-GGA).

Values from the calculation:
DOS(E_F), states/eV/cell: 4.278
SG: Pm-3m
Crystal system: cubic

Lattice parameters (Å, degrees): 4.2731 4.2731 4.2731 90.00 90.00 90.00
Last column: nearest neighbours and their distance in Å.
Fractional coordinates of all 5 atoms:
Ni1 0.0000 0.5000 0.0000  2 Co 2.14
Ni2 0.0000 0.0000 0.5000  2 Co 2.14
Ni3 0.5000 0.0000 0.0000  2 Co 2.14
Co1 0.0000 0.0000 0.0000  6 Ni 2.14
H1 0.5000 0.5000 0.5000  12 Ni 3.02


Ordering by calculated energy gives the sequence arrangement A, arrangement B, arrangement C, with the first entry being the most stable.


Arrangement A

Entry from Alexandria via LeMat-Bulk: CoNiH4 after structural relaxation (PBE-GGA).

Values from the calculation:
DOS(E_F), states/eV/cell: 1.984
SG: P4/mmm
Crystal system: tetragonal

Lattice parameters (Å, degrees): 2.8331 2.8331 4.0659 90.00 90.00 90.00
Last column: nearest neighbours and their distance in Å.
Fractional coordinates of all 6 atoms:
H1 0.0013 0.4973 0.7582  2 Co 1.72, 2 Ni 1.77
H2 0.0013 0.4973 0.2381  2 Co 1.72, 2 Ni 1.77
H3 0.5013 0.9973 0.2381  2 Co 1.72, 2 Ni 1.77
H4 0.5013 0.9973 0.7582  2 Co 1.72, 2 Ni 1.77
Ni1 0.0013 0.9973 0.4981  8 H 1.77
Co1 0.5013 0.4973 0.9981  8 H 1.72


Arrangement B

Entry from Alexandria via LeMat-Bulk: CoNiH4 after structural relaxation (PBE-GGA).

Values from the calculation:
DOS(E_F), states/eV/cell: 6.105
SG: P-1
Crystal system: triclinic

Lattice parameters (Å, degrees): 4.7465 4.5489 4.4520 105.29 107.51 117.42
Last column: nearest neighbours and their distance in Å.
Fractional coordinates of all 12 atoms:
Ni1 0.4095 0.6594 0.3186  6 H 1.68-1.86
Ni2 0.5905 0.3406 0.6814  6 H 1.68-1.86
H1 0.7304 0.0999 0.4201  1 Co 1.67, 2 Ni 1.68-1.86
H2 0.0762 0.2414 0.9289  2 Co 1.66-1.67, 1 Ni 1.72, 1 H 1.84
H3 0.2696 0.9001 0.5799  1 Co 1.67, 2 Ni 1.68-1.86
H4 0.8099 0.6787 0.5785  1 Co 1.67, 2 Ni 1.69-1.85
H5 0.1901 0.3213 0.4215  1 Co 1.67, 2 Ni 1.69-1.85
H6 0.6484 0.3129 0.0713  2 Co 1.67, 1 Ni 1.72, 1 H 1.84
H7 0.3516 0.6871 0.9287  2 Co 1.67, 1 Ni 1.72, 1 H 1.84
H8 0.9238 0.7586 0.0711  2 Co 1.66-1.67, 1 Ni 1.72, 1 H 1.84
Co1 0.7776 0.0275 0.0552  6 H 1.66-1.67
Co2 0.2224 0.9725 0.9448  6 H 1.66-1.67


Ordering by calculated energy gives the sequence arrangement A, arrangement B, with the first entry being the most stable.


Arrangement A

Entry from Alexandria via LeMat-Bulk: Co2NiH2 after structural relaxation (PBE-GGA).

Values from the calculation:
DOS(E_F), states/eV/cell: 8.118
SG: Ibam
Crystal system: orthorhombic

Lattice parameters (Å, degrees): 4.8044 4.7725 4.7725 59.31 59.78 59.78
Last column: nearest neighbours and their distance in Å.
Fractional coordinates of all 10 atoms:
H1 0.9255 0.3177 0.8313  3 Co 1.78-1.83, 2 Ni 1.78
H2 0.5745 0.1687 0.6823  3 Co 1.78-1.83, 2 Ni 1.78
H3 0.4255 0.8313 0.3177  3 Co 1.78-1.83, 2 Ni 1.78
H4 0.0745 0.6823 0.1687  3 Co 1.78-1.83, 2 Ni 1.78
Co1 0.6781 0.7193 0.9244  3 H 1.78-1.83
Co2 0.3219 0.2807 0.0756  3 H 1.78-1.83
Co3 0.1781 0.9244 0.7193  3 H 1.78-1.83
Co4 0.8219 0.0756 0.2807  3 H 1.78-1.83
Ni1 0.7500 0.5000 0.5000  4 H 1.78
Ni2 0.2500 0.5000 0.5000  4 H 1.78


Arrangement B

Entry from Alexandria via LeMat-Bulk: Co2NiH2 after structural relaxation (PBE-GGA).

Values from the calculation:
DOS(E_F), states/eV/cell: 7.480
SG: P4/mbm
Crystal system: tetragonal

Lattice parameters (Å, degrees): 5.3660 5.3660 2.6565 90.00 90.00 90.00
Last column: nearest neighbours and their distance in Å.
Fractional coordinates of all 10 atoms:
Co1 0.3464 0.1536 0.5000  2 H 1.76
Co2 0.6536 0.8464 0.5000  2 H 1.76
Co3 0.8464 0.3464 0.5000  2 H 1.76
Co4 0.1536 0.6536 0.5000  2 H 1.76
H1 0.3061 0.8061 0.0000  2 Co 1.76, 2 Ni 1.94
H2 0.8061 0.6939 0.0000  2 Co 1.76, 2 Ni 1.94
H3 0.1939 0.3061 0.0000  2 Co 1.76, 2 Ni 1.94
H4 0.6939 0.1939 0.0000  2 Co 1.76, 2 Ni 1.94
Ni1 0.0000 0.0000 0.0000  4 H 1.94
Ni2 0.5000 0.5000 0.0000  4 H 1.94


Arrangement C

Entry from Alexandria via LeMat-Bulk: Co2NiH2 after structural relaxation (PBE-GGA).

Values from the calculation:
DOS(E_F), states/eV/cell: 2.320
SG: I4/mmm
Crystal system: tetragonal

Lattice parameters (Å, degrees): 3.1189 3.1189 4.4412 69.44 69.44 90.00
Last column: nearest neighbours and their distance in Å.
Fractional coordinates of all 5 atoms:
H1 0.2500 0.7500 0.5000  4 Co 1.71
H2 0.7500 0.2500 0.5000  4 Co 1.71
Co1 0.6599 0.6599 0.6802  4 H 1.71
Co2 0.3401 0.3401 0.3198  4 H 1.71
Ni1 0.0000 0.0000 0.0000  8 H 2.48, 10 Co 2.53-2.62


Ordering by calculated energy gives the sequence arrangement A, arrangement C, arrangement B, with the first entry being the most stable.


Arrangement A

Entry from Alexandria via LeMat-Bulk: Co2NiH after structural relaxation (PBE-GGA).

Values from the calculation:
DOS(E_F), states/eV/cell: 10.130
SG: Fm-3m
Crystal system: cubic

Lattice parameters (Å, degrees): 3.7887 3.7887 3.7887 60.00 60.00 60.00
Last column: nearest neighbours and their distance in Å.
Fractional coordinates of all 4 atoms:
Co1 0.7500 0.7500 0.7500  4 H 2.32, 4 Ni 2.32
Co2 0.2500 0.2500 0.2500  4 Ni 2.32, 4 H 2.32
Ni1 0.5000 0.5000 0.5000  8 Co 2.32
H1 0.0000 0.0000 0.0000  8 Co 2.32


Arrangement B

Entry from Alexandria via LeMat-Bulk: Co2NiH after structural relaxation (PBE-GGA).

Values from the calculation:
DOS(E_F), states/eV/cell: 4.339
SG: R-3m
Crystal system: trigonal

Lattice parameters (Å, degrees): 2.5459 2.5459 6.3470 78.43 78.43 60.00
Last column: nearest neighbours and their distance in Å.
Fractional coordinates of all 4 atoms:
Co1 0.2755 0.2755 0.1736  3 H 1.82
Co2 0.7245 0.7245 0.8264  3 H 1.82
H1 0.0000 0.0000 0.0000  6 Co 1.82
Ni1 0.5000 0.5000 0.5000  6 Co 2.49, 6 Ni 2.55


Ordering by calculated energy gives the sequence arrangement B, arrangement A, with the first entry being the most stable.


Arrangement A

Entry from Alexandria via LeMat-Bulk: CoNi2H after structural relaxation (PBE-GGA).

Values from the calculation:
DOS(E_F), states/eV/cell: 4.585
SG: R3m
Crystal system: trigonal

Lattice parameters (Å, degrees): 2.5353 2.5353 6.4140 78.60 78.60 60.00
Last column: nearest neighbours and their distance in Å.
Fractional coordinates of all 4 atoms:
H1 0.6663 0.6663 0.0010  6 Ni 1.83-1.84
Ni1 0.2741 0.2741 0.1778  3 H 1.83
Ni2 0.0593 0.0593 0.8220  3 H 1.84
Co1 0.5003 0.5003 0.4991  6 Ni 2.48-2.49, 6 Co 2.54


Arrangement B

Entry from Alexandria via LeMat-Bulk: CoNi2H after structural relaxation (PBE-GGA).

Values from the calculation:
DOS(E_F), states/eV/cell: 14.318
SG: I-42d
Crystal system: tetragonal

Lattice parameters (Å, degrees): 5.6091 5.6091 4.6006 52.44 52.44 90.00
Last column: nearest neighbours and their distance in Å.
Fractional coordinates of all 8 atoms:
Ni1 0.3750 0.4786 0.7500  2 H 1.73
Ni2 0.2286 0.6250 0.2500  2 H 1.73
Ni3 0.5214 0.1250 0.2500  2 H 1.73
Ni4 0.8750 0.7714 0.7500  2 H 1.73
Co1 0.7500 0.2500 0.5000  2 H 2.33, 8 Ni 2.39-2.50
Co2 0.0000 0.0000 0.0000  2 H 2.33, 8 Ni 2.39-2.50
H1 0.2500 0.7500 0.5000  4 Ni 1.73
H2 0.5000 0.5000 0.0000  4 Ni 1.73


Arrangement C

Entry from Alexandria via LeMat-Bulk: CoNi2H after structural relaxation (PBE-GGA).

Values from the calculation:
DOS(E_F), states/eV/cell: 2.728
SG: P4/mmm
Crystal system: tetragonal

Lattice parameters (Å, degrees): 2.4485 2.4485 5.9539 90.00 90.00 90.00
Last column: nearest neighbours and their distance in Å.
Fractional coordinates of all 4 atoms:
Ni1 0.0000 0.0000 0.7999  4 H 2.10
Ni2 0.0000 0.0000 0.2001  4 H 2.10
H1 0.5000 0.5000 0.0000  8 Ni 2.10
Co1 0.5000 0.5000 0.5000  4 Co 2.45, 8 Ni 2.49


Arrangement D

Entry from Alexandria via LeMat-Bulk: CoNi2H after structural relaxation (PBE-GGA).

Values from the calculation:
DOS(E_F), states/eV/cell: 3.772
SG: P-6m2
Crystal system: hexagonal

Lattice parameters (Å, degrees): 2.5059 2.5059 6.5049 90.00 90.00 120.02
Last column: nearest neighbours and their distance in Å.
Fractional coordinates of all 4 atoms:
H1 0.1332 0.8668 0.5000  6 Ni 1.90
Ni1 0.4665 0.5335 0.6892  3 H 1.90
Ni2 0.4665 0.5335 0.3108  3 H 1.90
Co1 0.7998 0.2002 0.0000  6 Ni 2.49, 6 Co 2.51


Ordering by calculated energy gives the sequence arrangement A, arrangement D, arrangement C, arrangement B, with the first entry being the most stable.